A plane-wave DFT calculation with PBE was carried out for a geometry-optimized Tm3Al3CoHg2 structure.

Lattice parameters (Å, degrees): 4.0889 7.2284 7.2284 120.00 90.00 90.00
With the nearest neighbours (Å) after each atom.
Sites, in units of the cell vectors:
1 Al 0.5000 0.2196 0.2196  2 Co 2.59, 2 Al 2.75
2 Al 0.5000 0.7804 0.0000  2 Co 2.59, 2 Al 2.75
3 Al 0.5000 0.0000 0.7804  2 Co 2.59, 2 Al 2.75
4 Co 0.0000 0.0000 0.0000  6 Al 2.59, 3 Tm 2.79
5 Tm 0.0000 0.6145 0.6145  1 Co 2.79, 4 Hg 3.04
6 Tm 0.0000 0.3855 0.0000  1 Co 2.79, 4 Hg 3.04
7 Tm 0.0000 0.0000 0.3855  1 Co 2.79, 4 Hg 3.04
8 Hg 0.5000 0.6667 0.3333  3 Al 2.91, 6 Tm 3.04
9 Hg 0.5000 0.3333 0.6667  3 Al 2.91, 6 Tm 3.04

calculated total energy: -36.73 eV per cell
total magnetic moment: 0.00 μB per formula unit
DOS at the Fermi energy: 7.78 states/eV/f.u.
E_form: -0.487 eV/atom
space group: P-62m, No. 189
mass density: 9.4 g cm⁻³